# 1
# CaEu2Hg | Alexandria | GGA-PBE | relaxed
data_CaEu2Hg
_space_group_name_H-M_alt 'R -3 m'
_space_group_IT_number 166
_space_group_name_Hall '-R 3 2"'
_cell_length_a 3.9648
_cell_length_b 3.9648
_cell_length_c 33.6888
_cell_angle_alpha 90.00
_cell_angle_beta 90.00
_cell_angle_gamma 120.00
loop_
_atom_site_label
_atom_site_type_symbol
_atom_site_fract_x
_atom_site_fract_y
_atom_site_fract_z
Ca1 Ca 0.0000 0.0000 0.0000
Eu1 Eu 0.0000 0.0000 0.2370
Hg1 Hg 0.0000 0.0000 0.5000
# total moment: 46.30 μB per cell

---

# 2
# CaEu3Hg | Alexandria | GGA-PBE | relaxed
data_CaEu3Hg
_space_group_name_H-M_alt 'P m -3 m'
_space_group_IT_number 221
_space_group_name_Hall '-P 4 2 3'
_cell_length_a 6.131
_cell_length_b 6.131
_cell_length_c 6.131
_cell_angle_alpha 90.00
_cell_angle_beta 90.00
_cell_angle_gamma 90.00
loop_
_atom_site_label
_atom_site_type_symbol
_atom_site_fract_x
_atom_site_fract_y
_atom_site_fract_z
Ca1 Ca 0.000 0.000 0.000
Eu1 Eu 0.000 0.500 0.500
Hg1 Hg 0.500 0.500 0.500
# total moment: 22.38 μB per cell

---

# 3
# Ca2EuHg | Alexandria | GGA-PBE | relaxed
data_Ca2EuHg
_space_group_name_H-M_alt 'R -3 m'
_space_group_IT_number 166
_space_group_name_Hall '-R 3 2"'
_cell_length_a 3.9676
_cell_length_b 3.9676
_cell_length_c 32.8176
_cell_angle_alpha 90.00
_cell_angle_beta 90.00
_cell_angle_gamma 120.00
loop_
_atom_site_label
_atom_site_type_symbol
_atom_site_fract_x
_atom_site_fract_y
_atom_site_fract_z
Ca1 Ca 0.0000 0.0000 0.2337
Eu1 Eu 0.0000 0.0000 0.0000
Hg1 Hg 0.0000 0.0000 0.5000
# total moment: 23.14 μB per cell

---

# 4
# CaEuInHg | Alexandria | GGA-PBE | relaxed
data_CaEuInHg
_space_group_name_H-M_alt 'F -4 3 m'
_space_group_IT_number 216
_space_group_name_Hall 'F -4 2 3'
_cell_length_a 7.761
_cell_length_b 7.761
_cell_length_c 7.761
_cell_angle_alpha 90.00
_cell_angle_beta 90.00
_cell_angle_gamma 90.00
loop_
_atom_site_label
_atom_site_type_symbol
_atom_site_fract_x
_atom_site_fract_y
_atom_site_fract_z
Ca1 Ca 0.000 0.000 0.000
Eu1 Eu 0.000 0.000 0.500
In1 In 0.250 0.250 0.750
Hg1 Hg 0.250 0.250 0.250
# total moment: 28.31 μB per cell

---

| no. | VASP energy (eV/atom) |
| --- | --- |
| 1 | -5.8946 |
| 2 | -6.6687 |
| 3 | -3.8445 |
| 4 | -4.3418 |